1.
Material: GdErGe2
Method: DFT, GGA-PBE
State: relaxed

Cell: 3.2461 6.4547 6.4547 Å, 53.89 90.00 90.00°
Fractional positions:
1 Er 0.0000 0.8498 0.8498
2 Ge 0.0000 0.6076 0.6076
3 Ge 0.0000 0.3940 0.3940
4 Gd 0.0000 0.1486 0.1486

The space group is Amm2 (38). As for the polymorph energy (0 for the lowest one): 910 meV/atom.

2.
Material: TbSmZn2Si2
Method: DFT, GGA-PBE
State: relaxed

Cell: 4.1539 4.1539 16.1913 Å, 90.00 90.00 120.00°
Fractional positions:
1 Zn 0.3333 0.6667 0.8648
2 Zn 0.6667 0.3333 0.1352
3 Zn 0.6667 0.3333 0.3648
4 Zn 0.3333 0.6667 0.6352
5 Si 0.3333 0.6667 0.1227
6 Si 0.3333 0.6667 0.3773
7 Si 0.6667 0.3333 0.8773
8 Si 0.6667 0.3333 0.6227
9 Tb 0.0000 0.0000 0.2500
10 Tb 0.0000 0.0000 0.7500
11 Sm 0.0000 0.0000 0.5000
12 Sm 0.0000 0.0000 0.0000

The space group is P6_3/mmc (194). As for the polymorph energy (0 for the lowest one): 0 meV/atom.

3.
Material: LaPrNd2Zn12Ge6
Method: DFT, GGA-PBE
State: relaxed

Cell: 7.6851 4.1204 13.3139 Å, 90.00 90.00 90.00°
Fractional positions:
1 Zn 0.7109 0.5000 0.0005
2 Zn 0.6448 0.5000 0.3552
3 Zn 0.1888 0.0000 0.0011
4 Zn 0.2099 0.5000 0.4997
5 Zn 0.9078 0.0000 0.9050
6 Zn 0.1443 0.5000 0.8551
7 Zn 0.6453 0.5000 0.6443
8 Zn 0.6889 0.0000 0.5005
9 Zn 0.4040 0.0000 0.5937
10 Zn 0.4058 0.0000 0.4052
11 Zn 0.1446 0.5000 0.1451
12 Zn 0.9046 0.0000 0.0943
13 Nd 0.0003 0.0000 0.6662
14 Nd 0.4997 0.0000 0.1671
15 Ge 0.8084 0.5000 0.1905
16 Ge 0.3102 0.5000 0.3091
17 Ge 0.3806 0.5000 0.0010
18 Ge 0.8109 0.5000 0.8093
19 Ge 0.3087 0.5000 0.6897
20 Ge 0.8811 0.5000 0.5004
21 Pr 0.0000 0.0000 0.3333
22 La 0.4999 0.0000 0.8334

The space group is Pm (6). The total DFT energy (no corrections) is -71.64 eV per cell.

4.
Material: Cu2Te2Pb
Method: DFT, GGA-PBE
State: relaxed

Cell: 7.0147 7.0147 7.0147 Å, 114.87 89.53 125.99°
Fractional positions:
1 Te 0.3564 0.1571 0.5135
2 Te 0.8564 0.3429 0.1992
3 Te 0.1436 0.6571 0.8008
4 Te 0.6436 0.8429 0.4865
5 Pb 0.7500 0.7500 0.0000
6 Pb 0.2500 0.2500 0.0000
7 Cu 0.1256 0.3121 0.4377
8 Cu 0.3744 0.8121 0.1865
9 Cu 0.8744 0.6879 0.5623
10 Cu 0.6256 0.1879 0.8135

The space group is Ibam (72). The total DFT energy (no corrections) is -34.08 eV per cell.

5.
Material: CdCoCuSb
Method: DFT, GGA-PBE
State: relaxed

Cell: 4.5069 4.5069 4.5069 Å, 60.00 60.00 60.00°
Fractional positions:
1 Cd 0.5000 0.5000 0.5000
2 Sb 0.0000 0.0000 0.0000
3 Co 0.7500 0.7500 0.7500
4 Cu 0.2500 0.2500 0.2500

The space group is F-43m (216). As for the polymorph energy (0 for the lowest one): 0 meV/atom.

6.
Material: NdErTlCo2
Method: DFT, GGA-PBE
State: relaxed

Cell: 3.9402 7.2559 7.2559 Å, 30.67 90.00 90.00°
Fractional positions:
1 Tl 0.0000 0.9946 0.9946
2 Co 0.0000 0.7964 0.7964
3 Co 0.0000 0.2116 0.2116
4 Nd 0.5000 0.6379 0.6379
5 Er 0.5000 0.3595 0.3595

The space group is Amm2 (38). The total DFT energy (no corrections) is -27.13 eV per cell.

7.
Material: LaCuGePt
Method: DFT, GGA-PBE
State: relaxed

Cell: 4.8166 4.8166 4.8166 Å, 60.00 60.00 60.00°
Fractional positions:
1 Cu 0.7500 0.7500 0.7500
2 Pt 0.2500 0.2500 0.2500
3 La 0.0000 0.0000 0.0000
4 Ge 0.5000 0.5000 0.5000

The space group is F-43m (216). As for the polymorph energy (0 for the lowest one): 4 meV/atom.

8.
Material: TePd14
Method: DFT, GGA-PBE
State: relaxed

Cell: 8.1153 2.8576 31.2545 Å, 90.00 91.08 90.00°
Fractional positions:
1 Pd 0.7484 0.5000 0.5958
2 Pd 0.2050 0.5000 0.2528
3 Pd 0.0877 0.5000 0.3409
4 Pd 0.1917 0.5000 0.6382
5 Pd 0.6957 0.0000 0.4473
6 Pd 0.4699 0.0000 0.6165
7 Pd 0.2516 0.0000 0.4042
8 Pd 0.3587 0.0000 0.7014
9 Pd 0.4172 0.5000 0.4680
10 Pd 0.7536 0.5000 0.2113
11 Pd 0.7950 0.0000 0.7473
12 Pd 0.8083 0.0000 0.3618
13 Pd 0.3043 0.5000 0.5527
14 Pd 0.5828 0.0000 0.5320
15 Pd 0.9206 0.0000 0.2777
16 Pd 0.5161 0.5000 0.7659
17 Pd 0.2464 0.0000 0.7887
18 Pd 0.9123 0.0000 0.6591
19 Pd 0.4839 0.0000 0.2340
20 Pd 0.8612 0.5000 0.5108
21 Pd 0.0794 0.5000 0.7223
22 Pd 0.9730 0.5000 0.4257
23 Pd 0.6412 0.5000 0.2985
24 Pd 0.6373 0.5000 0.6812
25 Pd 0.1388 0.0000 0.4892
26 Pd 0.5301 0.5000 0.3835
27 Pd 0.0270 0.0000 0.5743
28 Pd 0.3627 0.0000 0.3188
29 Te 0.0268 0.0000 0.1943
30 Te 0.9732 0.5000 0.8057

The space group is P2_1/m (11). As for the polymorph energy (0 for the lowest one): 90 meV/atom.

9.
Material: CdB4Os
Method: DFT, GGA-PBE
State: relaxed

Cell: 3.0145 3.0145 7.8085 Å, 90.00 90.00 120.00°
Fractional positions:
1 B 0.3333 0.6667 0.2148
2 B 0.6667 0.3333 0.2148
3 B 0.6667 0.3333 0.7852
4 B 0.3333 0.6667 0.7852
5 Cd 0.0000 0.0000 0.5000
6 Os 0.0000 0.0000 0.0000

The space group is P6/mmm (191). As for the polymorph energy (0 for the lowest one): 0 meV/atom.

10.
Material: Er2CuPd
Method: DFT, GGA-PBE
State: relaxed

Cell: 4.4939 5.4385 7.0201 Å, 90.00 90.00 90.00°
Fractional positions:
1 Er 0.0000 0.1099 0.3174
2 Er 0.5000 0.3879 0.6832
3 Er 0.0000 0.8901 0.8174
4 Er 0.5000 0.6121 0.1832
5 Pd 0.5000 0.1113 0.0368
6 Pd 0.5000 0.8887 0.5368
7 Cu 0.0000 0.6098 0.4626
8 Cu 0.0000 0.3902 0.9626

The space group is Pmc2_1 (26). The formation energy is -0.63 eV per atom.

11.
Material: BaTeIrAu
Method: DFT, GGA-PBE
State: relaxed

Cell: 5.2389 5.2389 5.2389 Å, 60.00 60.00 60.00°
Fractional positions:
1 Ba 0.2500 0.2500 0.2500
2 Au 0.7500 0.7500 0.7500
3 Te 0.5000 0.5000 0.5000
4 Ir 0.0000 0.0000 0.0000

The space group is F-43m (216). As for the polymorph energy (0 for the lowest one): 261 meV/atom.

12.
Material: DyHgIr
Method: DFT, GGA-PBE
State: relaxed

Cell: 4.7365 4.7365 4.7365 Å, 60.00 60.00 60.00°
Fractional positions:
1 Ir 0.7500 0.7500 0.7500
2 Dy 0.0000 0.0000 0.0000
3 Hg 0.2500 0.2500 0.2500

The space group is F-43m (216). The formation energy is 0.05 eV per atom.